<one>
Ac4Ga2Ge | PBE-GGA | relaxed

a = 8.813 Å, b = 8.813 Å, c = 8.813 Å
α = 140.15°, β = 140.15°, γ = 57.62°
Fractional coordinates of all 7 atoms:
Ac 0.000 0.500 0.500
Ac 0.198 0.198 0.000
Ac 0.500 0.000 0.500
Ac 0.802 0.802 0.000
Ga 0.399 0.399 0.000
Ga 0.601 0.601 0.000
Ge 0.000 0.000 0.000

Properties
Its calculated volume is 39.79 Å³ per atom. The calculation puts the density of states at the Fermi level at 3.28 states/eV/cell. For the magnetic moment, the calculation gives 0.0 μB/cell.

<two>
Ac4Ga2Ge | PBE-GGA | relaxed

a = 9.017 Å, b = 9.017 Å, c = 6.256 Å
α = 105.22°, β = 105.22°, γ = 29.14°
Fractional coordinates of all 7 atoms:
Ac 0.100 0.100 0.008
Ac 0.360 0.360 0.456
Ac 0.640 0.640 0.544
Ac 0.900 0.900 0.992
Ga 0.263 0.263 0.872
Ga 0.737 0.737 0.128
Ge 0.000 0.000 0.500

Properties
Its calculated volume is 34.06 Å³ per atom. The calculation puts the density of states at the Fermi level at 7.14 states/eV/cell. For the magnetic moment, the calculation gives 1.1 μB/cell.

It turns out <two> is the most stable, with the second structure 170 meV per atom higher.

<one>
AcGa3Ge | PBE-GGA | relaxed

a = 5.958 Å, b = 5.958 Å, c = 6.770 Å
α = 90.00°, β = 90.00°, γ = 110.94°
Fractional coordinates of all 10 atoms:
Ac 0.240 0.760 0.750
Ac 0.760 0.240 0.250
Ga 0.262 0.262 0.000
Ga 0.262 0.262 0.500
Ga 0.374 0.626 0.250
Ga 0.626 0.374 0.750
Ga 0.738 0.738 0.000
Ga 0.738 0.738 0.500
Ge 0.114 0.886 0.250
Ge 0.886 0.114 0.750

Properties
Its calculated volume is 22.44 Å³ per atom. The calculation puts the density of states at the Fermi level at 4.11 states/eV/cell. For the magnetic moment, the calculation gives 0.0 μB/cell.

<two>
AcGa3Ge | PBE-GGA | relaxed

a = 11.600 Å, b = 11.600 Å, c = 4.445 Å
α = 90.00°, β = 90.00°, γ = 157.00°
Fractional coordinates of all 10 atoms:
Ac 0.082 0.918 0.750
Ac 0.918 0.082 0.250
Ga 0.302 0.698 0.250
Ga 0.363 0.637 0.750
Ga 0.473 0.527 0.750
Ga 0.527 0.473 0.250
Ga 0.637 0.363 0.250
Ga 0.698 0.302 0.750
Ge 0.193 0.807 0.250
Ge 0.807 0.193 0.750

Properties
Its calculated volume is 23.37 Å³ per atom. The calculation puts the density of states at the Fermi level at 4.16 states/eV/cell. For the magnetic moment, the calculation gives 0.0 μB/cell.

It turns out <one> is the most stable, with the second structure 33 meV per atom higher.

<one>
Ac3Ga2Ge | PBE-GGA | relaxed

a = 9.987 Å, b = 9.987 Å, c = 9.245 Å
α = 99.34°, β = 99.34°, γ = 24.84°
Fractional coordinates of all 12 atoms:
Ac 0.081 0.081 0.238
Ac 0.237 0.237 0.682
Ac 0.397 0.397 0.133
Ac 0.603 0.603 0.867
Ac 0.763 0.763 0.318
Ac 0.919 0.919 0.762
Ga 0.060 0.060 0.588
Ga 0.217 0.217 0.040
Ga 0.783 0.783 0.960
Ga 0.940 0.940 0.412
Ge 0.372 0.372 0.498
Ge 0.628 0.628 0.502

Properties
Its calculated volume is 31.83 Å³ per atom. The calculation puts the density of states at the Fermi level at 10.29 states/eV/cell. For the magnetic moment, the calculation gives 0.4 μB/cell.

<two>
Ac3Ga2Ge | PBE-GGA | relaxed

a = 12.976 Å, b = 4.400 Å, c = 13.229 Å
α = 90.00°, β = 90.00°, γ = 90.00°
Fractional coordinates of all 24 atoms:
Ac 0.068 0.250 0.123
Ac 0.116 0.750 0.552
Ac 0.202 0.250 0.792
Ac 0.298 0.750 0.292
Ac 0.384 0.250 0.052
Ac 0.432 0.750 0.623
Ac 0.568 0.250 0.377
Ac 0.616 0.750 0.948
Ac 0.702 0.250 0.708
Ac 0.798 0.750 0.208
Ac 0.884 0.250 0.448
Ac 0.932 0.750 0.877
Ga 0.028 0.750 0.311
Ga 0.193 0.750 0.986
Ga 0.307 0.250 0.486
Ga 0.472 0.250 0.811
Ga 0.528 0.750 0.189
Ga 0.693 0.750 0.514
Ga 0.807 0.250 0.014
Ga 0.972 0.250 0.689
Ge 0.133 0.250 0.368
Ge 0.367 0.750 0.868
Ge 0.633 0.250 0.132
Ge 0.867 0.750 0.632

Properties
Its calculated volume is 31.47 Å³ per atom. The calculation puts the density of states at the Fermi level at 24.32 states/eV/cell. For the magnetic moment, the calculation gives 0.6 μB/cell.

It turns out <two> is the most stable, with the second structure 44 meV per atom higher.

<one>
AcNdGaGe | PBE-GGA | relaxed

a = 4.212 Å, b = 6.300 Å, c = 6.300 Å
α = 42.70°, β = 90.00°, γ = 90.00°
Fractional coordinates of all 4 atoms:
Ac 0.000 0.000 0.000
Nd 0.500 0.720 0.720
Ga 0.000 0.280 0.280
Ge 0.500 0.421 0.421

Properties
Its calculated volume is 28.34 Å³ per atom. The calculation puts the density of states at the Fermi level at 3.18 states/eV/cell. For the magnetic moment, the calculation gives 0.0 μB/cell.

<two>
AcNdGaGe | PBE-GGA | relaxed

a = 5.386 Å, b = 5.386 Å, c = 5.386 Å
α = 60.00°, β = 60.00°, γ = 60.00°
Fractional coordinates of all 4 atoms:
Ac 0.000 0.000 0.000
Nd 0.500 0.500 0.500
Ga 0.750 0.750 0.750
Ge 0.250 0.250 0.250

Properties
Its calculated volume is 27.62 Å³ per atom. The calculation puts the density of states at the Fermi level at 2.05 states/eV/cell. For the magnetic moment, the calculation gives 0.0 μB/cell.

It turns out <one> is the most stable, with the second structure 174 meV per atom higher.